Here is a geometry-optimized ReTcCl structure from Alexandria. Energies are from PBE-GGA.

Cell and atoms, written as POSCAR:
```
ReTcCl
1.0
-1.465 1.465 5.501
1.465 -1.465 5.501
1.465 1.465 -5.501
Re Tc Cl
1 1 1
Direct
0.000 0.000 0.000
0.362 0.362 0.000
0.680 0.680 0.000
```

Calculated values
* energy relative to the elements, uncorrected: 36.3 kJ/mol of atoms
* crystal system: tetragonal
* calculated volume: 15.74 A^3/atom
* space-group type: No. 107


Here is a geometry-optimized MnCdFe2 structure from Alexandria. Energies are from PBE-GGA.

Cell and atoms, written as POSCAR:
```
MnCdFe2
1.0
0.000 3.056 3.056
3.056 0.000 3.056
3.056 3.056 0.000
Mn Cd Fe
1 1 2
Direct
0.000 0.000 0.000
0.750 0.750 0.750
0.250 0.250 0.250
0.500 0.500 0.500
```

Calculated values
* ΔH_f (0 K): 1.42 eV/f.u.
* crystal system: cubic
* calculated volume: 14.27 A^3/atom
* space-group type: No. 216


Which value of calculated volume does entry 1 give? 15.74 A^3/atom


Among the records above, which one has the highest calculated volume? ReTcCl


Among the records above, which one has the lowest calculated volume? MnCdFe2